1.
# CdP3, optimized geometry, DFT PBE
data_CdP3
_chemical_formula_sum 'Cd1 P3'
_symmetry_space_group_name_H-M 'P 1'
_symmetry_Int_Tables_number 1
_symmetry_space_group_name_Hall 'P 1'
_cell_length_a 4.4635
_cell_length_b 2.6451
_cell_length_c 7.5534
_cell_angle_alpha 68.58
_cell_angle_beta 90.00
_cell_angle_gamma 90.00
loop_
_atom_site_label
_atom_site_fract_x
_atom_site_fract_y
_atom_site_fract_z
P1 0.5000 0.6624 0.3443
P2 0.0000 0.5000 0.5000
Cd1 0.0000 0.0000 0.0000
P3 0.5000 0.3376 0.6557
# Formation energy, eV per atom: 0.38
# Spin magnetization, μB per formula unit: 0.00


2.
# SnIrOsC, optimized geometry, DFT PBE
data_SnIrOsC
_chemical_formula_sum 'Sn2 Ir2 Os2 C2'
_symmetry_space_group_name_H-M 'P 1'
_symmetry_Int_Tables_number 1
_symmetry_space_group_name_Hall 'P 1'
_cell_length_a 6.3739
_cell_length_b 3.0031
_cell_length_c 6.7383
_cell_angle_alpha 90.00
_cell_angle_beta 91.11
_cell_angle_gamma 90.00
loop_
_atom_site_label
_atom_site_fract_x
_atom_site_fract_y
_atom_site_fract_z
Os1 0.6706 0.5000 0.1895
C1 0.6441 0.0000 0.3868
Ir1 0.9701 0.0000 0.3800
Os2 0.6706 0.0000 0.6895
Ir2 0.9701 0.5000 0.8800
C2 0.6441 0.5000 0.8868
Sn1 0.2462 0.0000 0.6829
Sn2 0.2462 0.5000 0.1829
# Formation energy, eV per atom: 0.43
# Spin magnetization, μB per formula unit: 0.00


3.
# TiBeH3, optimized geometry, DFT PBE
data_TiBeH3
_chemical_formula_sum 'Ti1 Be1 H3'
_symmetry_space_group_name_H-M 'P 1'
_symmetry_Int_Tables_number 1
_symmetry_space_group_name_Hall 'P 1'
_cell_length_a 3.4354
_cell_length_b 3.4354
_cell_length_c 3.4354
_cell_angle_alpha 90.00
_cell_angle_beta 90.00
_cell_angle_gamma 90.00
loop_
_atom_site_label
_atom_site_fract_x
_atom_site_fract_y
_atom_site_fract_z
Be1 0.5000 0.5000 0.5000
H1 0.0000 0.0000 0.5000
H2 0.5000 0.0000 0.0000
Ti1 0.0000 0.0000 0.0000
H3 0.0000 0.5000 0.0000
# DFT total energy, eV/atom: -4.055
# Spin magnetization, μB per formula unit: 0.00


4.
# Ac2Pr3Sm5, optimized geometry, DFT PBE
data_Ac2Pr3Sm5
_chemical_formula_sum 'Ac4 Pr6 Sm10'
_symmetry_space_group_name_H-M 'P 1'
_symmetry_Int_Tables_number 1
_symmetry_space_group_name_Hall 'P 1'
_cell_length_a 11.3541
_cell_length_b 10.5185
_cell_length_c 9.1385
_cell_angle_alpha 105.90
_cell_angle_beta 110.00
_cell_angle_gamma 119.03
loop_
_atom_site_label
_atom_site_fract_x
_atom_site_fract_y
_atom_site_fract_z
Pr1 0.2686 0.0186 0.0372
Sm1 0.2432 0.4932 0.9864
Pr2 0.4639 0.5317 0.7445
Pr3 0.2194 0.7872 0.2555
Sm2 0.9763 0.7263 0.4526
Sm3 0.6698 0.8365 0.2446
Sm4 0.9252 0.5919 0.7554
Pr4 0.7806 0.2128 0.7445
Sm5 0.4956 0.7456 0.4913
Ac1 0.0541 0.0047 0.2547
Sm6 0.0237 0.2737 0.5474
Sm7 0.3302 0.1635 0.7554
Sm8 0.7568 0.5068 0.0136
Ac2 0.9459 0.9953 0.7453
Pr5 0.7314 0.9814 0.9628
Pr6 0.5361 0.4683 0.2555
Sm9 0.0748 0.4081 0.2446
Ac3 0.7007 0.2500 0.2547
Sm10 0.5044 0.2544 0.5087
Ac4 0.2993 0.7500 0.7453
# Formation energy, eV per atom: 0.20
# Spin magnetization, μB per formula unit: 0.00


5.
# Dy6FeTe2, optimized geometry, DFT PBE
data_Dy6FeTe2
_chemical_formula_sum 'Dy6 Fe1 Te2'
_symmetry_space_group_name_H-M 'P 1'
_symmetry_Int_Tables_number 1
_symmetry_space_group_name_Hall 'P 1'
_cell_length_a 8.3330
_cell_length_b 8.3330
_cell_length_c 3.9682
_cell_angle_alpha 90.00
_cell_angle_beta 90.00
_cell_angle_gamma 120.00
loop_
_atom_site_label
_atom_site_fract_x
_atom_site_fract_y
_atom_site_fract_z
Dy1 0.3973 0.3973 0.5000
Te1 0.3333 0.6667 0.0000
Dy2 0.7641 0.7641 0.0000
Dy3 0.0000 0.6027 0.5000
Te2 0.6667 0.3333 0.0000
Dy4 0.0000 0.2359 0.0000
Fe1 0.0000 0.0000 0.5000
Dy5 0.2359 0.0000 0.0000
Dy6 0.6027 0.0000 0.5000
# Formation energy (no corrections), eV per atom: -0.616
# Spin magnetization, μB per formula unit: 0.56


6.
# K2CeVS4, optimized geometry, DFT PBE
data_K2CeVS4
_chemical_formula_sum 'K2 Ce1 V1 S4'
_symmetry_space_group_name_H-M 'P 1'
_symmetry_Int_Tables_number 1
_symmetry_space_group_name_Hall 'P 1'
_cell_length_a 6.8869
_cell_length_b 6.8869
_cell_length_c 6.8869
_cell_angle_alpha 96.26
_cell_angle_beta 116.45
_cell_angle_gamma 116.45
loop_
_atom_site_label
_atom_site_fract_x
_atom_site_fract_y
_atom_site_fract_z
K1 0.5000 0.7500 0.2500
K2 0.0000 0.0000 0.0000
Ce1 0.5000 0.2500 0.7500
S1 0.4022 0.8373 0.7897
S2 0.5978 0.3874 0.4350
V1 0.0000 0.5000 0.5000
S3 0.9524 0.5650 0.1627
S4 0.0476 0.2103 0.6126
# Formation energy (no corrections), eV per atom: -1.217
# Spin magnetization, μB per formula unit: 3.00


7.
# Ta4TcSe, optimized geometry, DFT PBE
data_Ta4TcSe
_chemical_formula_sum 'Ta4 Tc1 Se1'
_symmetry_space_group_name_H-M 'P 1'
_symmetry_Int_Tables_number 1
_symmetry_space_group_name_Hall 'P 1'
_cell_length_a 5.4110
_cell_length_b 5.4110
_cell_length_c 5.4110
_cell_angle_alpha 60.00
_cell_angle_beta 60.00
_cell_angle_gamma 60.00
loop_
_atom_site_label
_atom_site_fract_x
_atom_site_fract_y
_atom_site_fract_z
Se1 0.0000 0.0000 0.0000
Ta1 0.3755 0.8734 0.3755
Ta2 0.8734 0.3755 0.3755
Ta3 0.3755 0.3755 0.3755
Ta4 0.3755 0.3755 0.8734
Tc1 0.7500 0.7500 0.7500
# Formation energy (no corrections), eV per atom: 0.607
# Spin magnetization, μB per formula unit: 0.00


8.
# TlAsRh2, optimized geometry, DFT PBE
data_TlAsRh2
_chemical_formula_sum 'Tl2 As2 Rh4'
_symmetry_space_group_name_H-M 'P 1'
_symmetry_Int_Tables_number 1
_symmetry_space_group_name_Hall 'P 1'
_cell_length_a 6.0451
_cell_length_b 6.0451
_cell_length_c 6.7788
_cell_angle_alpha 63.52
_cell_angle_beta 63.52
_cell_angle_gamma 90.00
loop_
_atom_site_label
_atom_site_fract_x
_atom_site_fract_y
_atom_site_fract_z
Rh1 0.3750 0.4273 0.7500
Tl1 0.0000 0.0000 0.0000
As1 0.5000 0.5000 0.0000
Rh2 0.8750 0.8227 0.7500
Rh3 0.5727 0.1250 0.2500
Tl2 0.7500 0.2500 0.5000
As2 0.2500 0.7500 0.5000
Rh4 0.1773 0.6250 0.2500
# Formation energy, eV per atom: 0.20
# Spin magnetization, μB per formula unit: 0.00


9.
# CrTeRu2, optimized geometry, DFT PBE
data_CrTeRu2
_chemical_formula_sum 'Cr1 Te1 Ru2'
_symmetry_space_group_name_H-M 'P 1'
_symmetry_Int_Tables_number 1
_symmetry_space_group_name_Hall 'P 1'
_cell_length_a 4.6042
_cell_length_b 4.6042
_cell_length_c 4.8910
_cell_angle_alpha 79.67
_cell_angle_beta 79.67
_cell_angle_gamma 38.00
loop_
_atom_site_label
_atom_site_fract_x
_atom_site_fract_y
_atom_site_fract_z
Cr1 0.2500 0.2500 0.2500
Te1 0.7500 0.7500 0.7500
Ru1 0.5092 0.5092 0.4747
Ru2 0.9908 0.9908 0.0253
# Formation energy (no corrections), eV per atom: 0.291
# Spin magnetization, μB per formula unit: 2.16


10.
# SrCaCu2, optimized geometry, DFT PBE
data_SrCaCu2
_chemical_formula_sum 'Sr2 Ca2 Cu4'
_symmetry_space_group_name_H-M 'P 1'
_symmetry_Int_Tables_number 1
_symmetry_space_group_name_Hall 'P 1'
_cell_length_a 7.9280
_cell_length_b 7.9280
_cell_length_c 6.6747
_cell_angle_alpha 53.57
_cell_angle_beta 53.57
_cell_angle_gamma 90.00
loop_
_atom_site_label
_atom_site_fract_x
_atom_site_fract_y
_atom_site_fract_z
Ca1 0.2500 0.7500 0.5000
Cu1 0.8750 0.8573 0.7500
Sr1 0.0000 0.0000 0.0000
Ca2 0.5000 0.5000 0.0000
Cu2 0.3750 0.3927 0.7500
Cu3 0.1427 0.6250 0.2500
Cu4 0.6073 0.1250 0.2500
Sr2 0.7500 0.2500 0.5000
# Formation energy, eV per atom: 0.26
# Spin magnetization, μB per formula unit: 0.00